Run 1
Density functional theory data (PBE) for crystalline Cd4HgPt at its relaxed geometry.

Cell and atoms, written as POSCAR:
```
Cd4HgPt
1.0
4.882 -2.289 -1.629
3.549 -2.095 3.840
0.768 -5.567 0.385
Cd Pt Hg
4 1 1
Direct
0.374 0.374 0.374 Cd
0.374 0.877 0.374 Cd
0.877 0.374 0.374 Cd
0.374 0.374 0.877 Cd
0.000 0.000 0.000 Pt
0.750 0.750 0.750 Hg
```

Computed properties:
DOS at the Fermi energy (states/eV/f.u.): 5.1

Run 2
Density functional theory data (PBE) for crystalline Cd4HgPt at its relaxed geometry.

Cell and atoms, written as POSCAR:
```
Cd4HgPt
1.0
4.770 0.046 0.091
-0.079 8.223 1.115
-2.352 -2.155 6.979
Cd Pt Hg
8 2 2
Direct
0.809 0.435 0.129 Cd
0.958 0.154 0.411 Cd
0.191 0.565 0.871 Cd
0.042 0.846 0.589 Cd
0.309 0.935 0.129 Cd
0.542 0.346 0.589 Cd
0.691 0.065 0.871 Cd
0.458 0.654 0.411 Cd
0.000 0.500 0.500 Pt
0.500 0.000 0.500 Pt
0.750 0.750 0.999 Hg
0.250 0.250 0.001 Hg
```

Computed properties:
DOS at the Fermi energy (states/eV/f.u.): 2.3

Bottom line: run 2, by a margin of 292 meV/atom.

Run 1
Density functional theory data (PBE) for crystalline RbCd2HgPt at its relaxed geometry.

Cell and atoms, written as POSCAR:
```
RbCd2HgPt
1.0
-2.538 3.410 3.239
2.753 -1.907 4.165
3.867 3.698 -0.863
Cd Rb Hg Pt
2 1 1 1
Direct
0.000 0.500 0.000 Cd
0.500 0.000 0.000 Cd
0.500 0.500 0.500 Rb
0.000 0.000 0.500 Hg
0.000 0.000 0.000 Pt
```

Computed properties:
DOS at the Fermi energy (states/eV/f.u.): 1.0

Run 2
Density functional theory data (PBE) for crystalline RbCd2HgPt at its relaxed geometry.

Cell and atoms, written as POSCAR:
```
RbCd2HgPt
1.0
-2.025 2.915 -3.942
1.200 -3.840 -3.456
-5.651 -2.629 0.959
Pt Cd Rb Hg
1 2 1 1
Direct
0.000 0.000 0.000 Pt
0.500 0.000 0.000 Cd
0.000 0.500 0.000 Cd
0.000 0.000 0.500 Rb
0.500 0.500 0.500 Hg
```

Computed properties:
DOS at the Fermi energy (states/eV/f.u.): 2.2

Bottom line: run 1, by a margin of 193 meV/atom.

Run 1
Density functional theory data (PBE) for crystalline SrCd2HgPt at its relaxed geometry.

Cell and atoms, written as POSCAR:
```
SrCd2HgPt
1.0
5.232 0.000 0.000
0.000 5.232 0.000
0.000 0.000 5.318
Hg Cd Sr Pt
1 2 1 1
Direct
0.000 0.000 0.500 Hg
0.000 0.500 0.000 Cd
0.500 0.000 0.000 Cd
0.500 0.500 0.500 Sr
0.000 0.000 0.000 Pt
```

Computed properties:
DOS at the Fermi energy (states/eV/f.u.): 2.6

Run 2
Density functional theory data (PBE) for crystalline SrCd2HgPt at its relaxed geometry.

Cell and atoms, written as POSCAR:
```
SrCd2HgPt
1.0
-4.819 2.179 0.219
-1.445 -3.560 3.642
1.770 3.500 4.124
Cd Sr Pt Hg
2 1 1 1
Direct
0.500 0.000 0.000 Cd
0.000 0.500 0.000 Cd
0.000 0.000 0.500 Sr
0.000 0.000 0.000 Pt
0.500 0.500 0.500 Hg
```

Computed properties:
DOS at the Fermi energy (states/eV/f.u.): 1.4

Bottom line: run 2, by a margin of 38 meV/atom.